# ReHgTe2 PBE optimized geometry
data_ReHgTe2
_symmetry_space_group_name_H-M 'C m m m'
_symmetry_Int_Tables_number 65
_symmetry_space_group_name_Hall '-C 2 2'
_cell_length_a 5.474
_cell_length_b 11.181
_cell_length_c 3.859
_cell_angle_alpha 90.00
_cell_angle_beta 90.00
_cell_angle_gamma 90.00
loop_
_atom_site_label
_atom_site_type_symbol
_atom_site_fract_x
_atom_site_fract_y
_atom_site_fract_z
_atom_site_occupancy
Re1 Re 0.000 0.000 0.000 1
Hg1 Hg 0.000 0.500 0.000 1
Te1 Te 0.000 0.164 0.500 1
# Energy above the lowest structure with this stoichiometry ... 135 meV per atom
# Crystal system ... orthorhombic

***

# Ac5PrNd2Er PBE optimized geometry
data_Ac5PrNd2Er
_symmetry_space_group_name_H-M 'I 4/m c m'
_symmetry_Int_Tables_number 140
_symmetry_space_group_name_Hall '-I 4 2c'
_cell_length_a 8.431
_cell_length_b 8.431
_cell_length_c 20.973
_cell_angle_alpha 90.00
_cell_angle_beta 90.00
_cell_angle_gamma 90.00
loop_
_atom_site_label
_atom_site_type_symbol
_atom_site_fract_x
_atom_site_fract_y
_atom_site_fract_z
_atom_site_occupancy
Ac1 Ac 0.000 0.000 0.000 1
Ac2 Ac 0.222 0.278 0.136 1
Pr1 Pr 0.000 0.000 0.250 1
Nd1 Nd 0.122 0.378 0.500 1
Er1 Er 0.000 0.500 0.250 1
# E_form ... 0.28 eV per atom
# Crystal system ... tetragonal

***

# Ga2Ge2H PBE optimized geometry
data_Ga2Ge2H
_symmetry_space_group_name_H-M 'P 4/m b m'
_symmetry_Int_Tables_number 127
_symmetry_space_group_name_Hall '-P 4 2ab'
_cell_length_a 5.535
_cell_length_b 5.535
_cell_length_c 5.234
_cell_angle_alpha 90.00
_cell_angle_beta 90.00
_cell_angle_gamma 90.00
loop_
_atom_site_label
_atom_site_type_symbol
_atom_site_fract_x
_atom_site_fract_y
_atom_site_fract_z
_atom_site_occupancy
Ga1 Ga 0.171 0.329 0.000 1
Ge1 Ge 0.233 0.267 0.500 1
H1 H 0.000 0.000 0.000 1
# Calculated total energy ... -35.09 eV for the cell shown
# Crystal system ... tetragonal

***

# Tm8Cd3Sb2 PBE optimized geometry
data_Tm8Cd3Sb2
_symmetry_space_group_name_H-M 'C 1 2/m 1'
_symmetry_Int_Tables_number 12
_symmetry_space_group_name_Hall '-C 2y'
_cell_length_a 14.647
_cell_length_b 8.401
_cell_length_c 6.150
_cell_angle_alpha 90.00
_cell_angle_beta 90.34
_cell_angle_gamma 90.00
loop_
_atom_site_label
_atom_site_type_symbol
_atom_site_fract_x
_atom_site_fract_y
_atom_site_fract_z
_atom_site_occupancy
Tm1 Tm 0.088 0.000 0.153 1
Tm2 Tm 0.121 0.200 0.653 1
Tm3 Tm 0.189 0.500 0.081 1
Cd1 Cd 0.000 0.328 0.000 1
Cd2 Cd 0.000 0.500 0.500 1
Sb1 Sb 0.232 0.500 0.574 1
# Calculated total energy ... -100.87 eV for the cell shown
# Crystal system ... monoclinic

***

# Li4ErGa4 PBE optimized geometry
data_Li4ErGa4
_symmetry_space_group_name_H-M 'P 42/n m c'
_symmetry_Int_Tables_number 137
_cell_length_a 5.844
_cell_length_b 5.844
_cell_length_c 9.187
_cell_angle_alpha 90.00
_cell_angle_beta 90.00
_cell_angle_gamma 90.00
loop_
_symmetry_equiv_pos_as_xyz
'x,y,z'
'-x,-y,-z'
'-y+1/2,x,z+1/2'
'y+1/2,-x,-z+1/2'
'-x+1/2,-y+1/2,z'
'x+1/2,y+1/2,-z'
'y,-x+1/2,z+1/2'
'-y,x+1/2,-z+1/2'
'x+1/2,-y,-z'
'-x+1/2,y,z'
'-y,-x,-z+1/2'
'y,x,z+1/2'
'-x,y+1/2,-z'
'x,-y+1/2,z'
'y+1/2,x+1/2,-z+1/2'
'-y+1/2,-x+1/2,z+1/2'
loop_
_atom_site_label
_atom_site_type_symbol
_atom_site_fract_x
_atom_site_fract_y
_atom_site_fract_z
_atom_site_occupancy
Li1 Li 0.026 0.250 0.173 1
Er1 Er 0.250 0.750 0.250 1
Ga1 Ga 0.025 0.250 0.466 1
# E_form ... -0.25 eV per atom
# Crystal system ... tetragonal

***

# Rb2Ge2Au3 PBE optimized geometry
data_Rb2Ge2Au3
_symmetry_space_group_name_H-M 'P 1 21/c 1'
_symmetry_Int_Tables_number 14
_symmetry_space_group_name_Hall '-P 2ybc'
_cell_length_a 7.018
_cell_length_b 7.292
_cell_length_c 8.703
_cell_angle_alpha 90.00
_cell_angle_beta 107.79
_cell_angle_gamma 90.00
loop_
_atom_site_label
_atom_site_type_symbol
_atom_site_fract_x
_atom_site_fract_y
_atom_site_fract_z
_atom_site_occupancy
Rb1 Rb 0.196 0.091 0.404 1
Ge1 Ge 0.357 0.597 0.551 1
Au1 Au 0.000 0.000 0.000 1
Au2 Au 0.433 0.684 0.286 1
# E_form ... -0.29 eV per atom
# Energy above the lowest structure with this stoichiometry ... 0 meV per atom
# Crystal system ... monoclinic

***

# HfPa2P3 PBE optimized geometry
data_HfPa2P3
_symmetry_space_group_name_H-M 'I 4/m m m'
_symmetry_Int_Tables_number 139
_symmetry_space_group_name_Hall '-I 4 2'
_cell_length_a 3.901
_cell_length_b 3.901
_cell_length_c 16.379
_cell_angle_alpha 90.00
_cell_angle_beta 90.00
_cell_angle_gamma 90.00
loop_
_atom_site_label
_atom_site_type_symbol
_atom_site_fract_x
_atom_site_fract_y
_atom_site_fract_z
_atom_site_occupancy
Hf1 Hf 0.000 0.000 0.000 1
Pa1 Pa 0.000 0.000 0.333 1
P1 P 0.000 0.000 0.161 1
P2 P 0.000 0.000 0.500 1
# E_form ... -1.27 eV per atom
# Crystal system ... tetragonal

***

# Pm2Y3Sc PBE optimized geometry
data_Pm2Y3Sc
_symmetry_space_group_name_H-M 'P n n m'
_symmetry_Int_Tables_number 58
_symmetry_space_group_name_Hall '-P 2 2n'
_cell_length_a 6.579
_cell_length_b 17.418
_cell_length_c 3.358
_cell_angle_alpha 90.00
_cell_angle_beta 90.00
_cell_angle_gamma 90.00
loop_
_atom_site_label
_atom_site_type_symbol
_atom_site_fract_x
_atom_site_fract_y
_atom_site_fract_z
_atom_site_occupancy
Pm1 Pm 0.250 0.147 0.000 1
Y1 Y 0.000 0.000 0.500 1
Y2 Y 0.248 0.822 0.000 1
Sc1 Sc 0.000 0.500 0.500 1
# E_form ... 0.26 eV per atom
# Energy above the lowest structure with this stoichiometry ... 221 meV per atom
# Crystal system ... orthorhombic

***

# BeTlSe PBE optimized geometry
data_BeTlSe
_symmetry_space_group_name_H-M 'F -4 3 m'
_symmetry_Int_Tables_number 216
_symmetry_space_group_name_Hall 'F -4 2 3'
_cell_length_a 6.460
_cell_length_b 6.460
_cell_length_c 6.460
_cell_angle_alpha 90.00
_cell_angle_beta 90.00
_cell_angle_gamma 90.00
loop_
_atom_site_label
_atom_site_type_symbol
_atom_site_fract_x
_atom_site_fract_y
_atom_site_fract_z
_atom_site_occupancy
Be1 Be 0.000 0.000 0.000 1
Tl1 Tl 0.250 0.250 0.250 1
Se1 Se 0.250 0.250 0.750 1
# Energy above the lowest structure with this stoichiometry ... 657 meV per atom
# Crystal system ... cubic

***

# TmH3Rh PBE optimized geometry
data_TmH3Rh
_symmetry_space_group_name_H-M 'P m -3 m'
_symmetry_Int_Tables_number 221
_symmetry_space_group_name_Hall '-P 4 2 3'
_cell_length_a 3.619
_cell_length_b 3.619
_cell_length_c 3.619
_cell_angle_alpha 90.00
_cell_angle_beta 90.00
_cell_angle_gamma 90.00
loop_
_atom_site_label
_atom_site_type_symbol
_atom_site_fract_x
_atom_site_fract_y
_atom_site_fract_z
_atom_site_occupancy
Tm1 Tm 0.000 0.000 0.000 1
H1 H 0.000 0.500 0.500 1
Rh1 Rh 0.500 0.500 0.500 1
# Calculated total energy ... -24.73 eV for the cell shown
# Crystal system ... cubic

***

# RbZnCr2Rh PBE optimized geometry
data_RbZnCr2Rh
_symmetry_space_group_name_H-M 'P 4/m m m'
_symmetry_Int_Tables_number 123
_symmetry_space_group_name_Hall '-P 4 2'
_cell_length_a 5.043
_cell_length_b 5.043
_cell_length_c 4.781
_cell_angle_alpha 90.00
_cell_angle_beta 90.00
_cell_angle_gamma 90.00
loop_
_atom_site_label
_atom_site_type_symbol
_atom_site_fract_x
_atom_site_fract_y
_atom_site_fract_z
_atom_site_occupancy
Rb1 Rb 0.000 0.000 0.000 1
Zn1 Zn 0.500 0.500 0.500 1
Cr1 Cr 0.000 0.500 0.500 1
Rh1 Rh 0.500 0.500 0.000 1
# E_form ... 1.04 eV per atom
# Crystal system ... tetragonal

***

# La3PbN PBE optimized geometry
data_La3PbN
_symmetry_space_group_name_H-M 'R -3 c'
_symmetry_Int_Tables_number 167
_symmetry_space_group_name_Hall '-R 3 2"c'
_cell_length_a 7.6602
_cell_length_b 7.6602
_cell_length_c 22.5704
_cell_angle_alpha 90.00
_cell_angle_beta 90.00
_cell_angle_gamma 120.00
loop_
_atom_site_label
_atom_site_type_symbol
_atom_site_fract_x
_atom_site_fract_y
_atom_site_fract_z
_atom_site_occupancy
La1 La 0.0000 0.2907 0.2500 1
Pb1 Pb 0.0000 0.0000 0.0000 1
N1 N 0.0000 0.0000 0.2500 1
# Calculated total energy ... -177.48 eV for the cell shown
# Crystal system ... trigonal